Compound: Ac2UGeO8
Source: the Alexandria database
Functional: PBE
Structure: optimized geometry

abc: 4.3280 5.5754 8.0172
angles: 80.64 86.49 81.40
Last column: nearest neighbours and their distance in Å.
Atoms (fractional coordinates):
Ac  0.0318  0.0376  0.2432  8 O 2.49-2.77
Ac  0.9682  0.9624  0.7568  8 O 2.49-2.77
U  0.5000  0.5000  0.5000  4 O 1.99-2.02
Ge  0.5000  0.5000  0.0000  4 O 1.81-1.89
O  0.0860  0.7167  0.5212  1 U 2.02
O  0.1805  0.7385  0.0345  1 Ge 1.81
O  0.4225  0.2158  0.6742  1 U 1.99
O  0.4611  0.3381  0.2248  1 Ge 1.89
O  0.5389  0.6619  0.7752  1 Ge 1.89
O  0.5775  0.7842  0.3258  1 U 1.99
O  0.8195  0.2615  0.9655  1 Ge 1.81
O  0.9140  0.2833  0.4788  1 U 2.02

Properties
Its symmetry is P-1. Its magnetization is 0.00 μB/f.u. The calculation puts the formation energy (no corrections) at -2.81 eV/atom. The total energy comes out at -97.53 eV for the cell shown.